# 1
# meta-GGA SCAN InGa2FeRh, single point on PBEsol structure
data_InGa2FeRh
_space_group_name_H-M_alt 'P 4/m m m'
_space_group_IT_number 123
_space_group_name_Hall '-P 4 2'
_cell_length_a 4.362
_cell_length_b 4.362
_cell_length_c 4.740
_cell_angle_alpha 90.00
_cell_angle_beta 90.00
_cell_angle_gamma 90.00
loop_
_atom_site_label
_atom_site_fract_x
_atom_site_fract_y
_atom_site_fract_z
_atom_site_occupancy
In1 0.000 0.000 0.000 1
Ga1 0.000 0.500 0.500 1
Fe1 0.000 0.000 0.500 1
Rh1 0.500 0.500 0.000 1
# **Energy of formation**: 0.56 eV per atom
# **Fermi-level density of states**: 0.71 states/eV per atom
# **ρ**: 7.606 g/cm3

# 2
# meta-GGA SCAN LiGa2FeIr, single point on PBEsol structure
data_LiGa2FeIr
_space_group_name_H-M_alt 'P 4/m m m'
_space_group_IT_number 123
_space_group_name_Hall '-P 4 2'
_cell_length_a 4.123
_cell_length_b 4.123
_cell_length_c 3.821
_cell_angle_alpha 90.00
_cell_angle_beta 90.00
_cell_angle_gamma 90.00
loop_
_atom_site_label
_atom_site_fract_x
_atom_site_fract_y
_atom_site_fract_z
_atom_site_occupancy
Li1 0.000 0.000 0.000 1
Ga1 0.000 0.500 0.000 1
Fe1 0.000 0.000 0.500 1
Ir1 0.500 0.500 0.500 1
# **Energy of formation**: 0.77 eV per atom
# **Fermi-level density of states**: 0.47 states/eV per atom
# **ρ**: 10.087 g/cm3

# 3
# meta-GGA SCAN La2GaFeO6, single point on PBEsol structure
data_La2GaFeO6
_space_group_name_H-M_alt 'P 1 21/c 1'
_space_group_IT_number 14
_cell_length_a 5.463
_cell_length_b 5.394
_cell_length_c 9.377
_cell_angle_alpha 90.00
_cell_angle_beta 125.41
_cell_angle_gamma 90.00
loop_
_space_group_symop_operation_xyz
'x,y,z'
'-x,-y,-z'
'-x,y+1/2,-z+1/2'
'x,-y+1/2,z+1/2'
loop_
_atom_site_label
_atom_site_fract_x
_atom_site_fract_y
_atom_site_fract_z
_atom_site_occupancy
La1 0.245 0.018 0.249 1
Ga1 0.500 0.000 0.000 1
Fe1 0.000 0.000 0.500 1
O1 0.191 0.234 0.964 1
O2 0.229 0.728 0.964 1
O3 0.314 0.004 0.747 1
# **Formation energy without anion corrections**: -2.853 eV/atom
# **ρ**: 7.365 g/cm3

# 4
# meta-GGA SCAN LiGaFe2N, single point on PBEsol structure
data_LiGaFe2N
_space_group_name_H-M_alt 'P 4/m m m'
_space_group_IT_number 123
_space_group_name_Hall '-P 4 2'
_cell_length_a 4.142
_cell_length_b 4.142
_cell_length_c 3.282
_cell_angle_alpha 90.00
_cell_angle_beta 90.00
_cell_angle_gamma 90.00
loop_
_atom_site_label
_atom_site_fract_x
_atom_site_fract_y
_atom_site_fract_z
_atom_site_occupancy
Li1 0.000 0.000 0.000 1
Ga1 0.500 0.500 0.500 1
Fe1 0.000 0.500 0.000 1
N1 0.000 0.000 0.500 1
# **Formation energy without anion corrections**: 0.995 eV/atom
# **Fermi-level density of states**: 0.70 states/eV per atom
# **ρ**: 5.969 g/cm3

# 5
# meta-GGA SCAN MgGa2Fe2, single point on PBEsol structure
data_MgGa2Fe2
_space_group_name_H-M_alt 'I 4/m m m'
_space_group_IT_number 139
_space_group_name_Hall '-I 4 2'
_cell_length_a 3.592
_cell_length_b 3.592
_cell_length_c 11.454
_cell_angle_alpha 90.00
_cell_angle_beta 90.00
_cell_angle_gamma 90.00
loop_
_atom_site_label
_atom_site_fract_x
_atom_site_fract_y
_atom_site_fract_z
_atom_site_occupancy
Mg1 0.000 0.000 0.000 1
Ga1 0.000 0.000 0.392 1
Fe1 0.000 0.500 0.250 1
# **Energy of formation**: -0.02 eV per atom
# **Fermi-level density of states**: 0.74 states/eV per atom
# **ρ**: 6.190 g/cm3

# 6
# meta-GGA SCAN MgGaFeO2, single point on PBEsol structure
data_MgGaFeO2
_space_group_name_H-M_alt 'P 4/m m m'
_space_group_IT_number 123
_space_group_name_Hall '-P 4 2'
_cell_length_a 3.843
_cell_length_b 3.843
_cell_length_c 4.725
_cell_angle_alpha 90.00
_cell_angle_beta 90.00
_cell_angle_gamma 90.00
loop_
_atom_site_label
_atom_site_fract_x
_atom_site_fract_y
_atom_site_fract_z
_atom_site_occupancy
Mg1 0.000 0.000 0.000 1
Ga1 0.500 0.500 0.500 1
Fe1 0.500 0.500 0.000 1
O1 0.000 0.500 0.500 1
# **Formation energy without anion corrections**: -0.236 eV/atom
# **Fermi-level density of states**: 0.23 states/eV per atom
# **ρ**: 4.327 g/cm3